Record 1
DFT (PBE) results for a relaxed Pu2Zn4N5 crystal.

Lattice parameters (Å, degrees): 3.4528 3.4528 14.3818 83.11 83.11 60.00
Atoms (fractional coordinates):
1 Zn 0.3094 0.3094 0.0717
2 Zn 0.6906 0.6906 0.9283
3 Zn 0.4098 0.4098 0.7705
4 Zn 0.5902 0.5902 0.2295
5 N 0.7704 0.7704 0.6889
6 N 0.3647 0.3647 0.9058
7 N 0.6353 0.6353 0.0942
8 N 0.5000 0.5000 0.5000
9 N 0.2296 0.2296 0.3111
10 Pu 0.8674 0.8674 0.3977
11 Pu 0.1326 0.1326 0.6023

Computed properties:
- Total energy: -7.25 eV per atom
- Space-group type: R-3m
- DOS(E_F): 10.3 states/eV per cell
- E_form (uncorrected): -0.3936 eV/atom

---

Record 2
DFT (PBE) results for a relaxed PuZn4N4 crystal.

Lattice parameters (Å, degrees): 5.8218 5.8218 7.1849 90.00 90.00 101.82
Atoms (fractional coordinates):
1 Zn 0.1566 0.8434 0.5000
2 Zn 0.8724 0.5807 0.7500
3 Zn 0.8434 0.1566 0.5000
4 Zn 0.5807 0.8724 0.7500
5 Zn 0.8434 0.1566 0.0000
6 Zn 0.4193 0.1276 0.2500
7 Zn 0.1276 0.4193 0.2500
8 Zn 0.1566 0.8434 0.0000
9 N 0.7780 0.7780 0.9741
10 N 0.7780 0.7780 0.5259
11 N 0.2946 0.7588 0.2500
12 N 0.7588 0.2946 0.2500
13 N 0.2220 0.2220 0.0259
14 N 0.2412 0.7054 0.7500
15 N 0.2220 0.2220 0.4741
16 N 0.7054 0.2412 0.7500
17 Pu 0.6649 0.6649 0.2500
18 Pu 0.3351 0.3351 0.7500

Computed properties:
- Total energy: -5.97 eV per atom
- Space-group type: Cmcm
- DOS(E_F): 16.6 states/eV per cell
- E_form (uncorrected): -0.1107 eV/atom

---

Record 3
DFT (PBE) results for a relaxed PuZnN2 crystal.

Lattice parameters (Å, degrees): 3.6002 3.6002 17.2122 90.00 90.00 60.00
Atoms (fractional coordinates):
1 N 0.6667 0.3374 0.4405
2 N 0.0041 0.6626 0.8928
3 N 0.6626 0.3334 0.2262
4 N 0.3333 0.0040 0.5595
5 N 0.9959 0.6666 0.1072
6 N 0.3374 0.9959 0.7738
7 Pu 0.0000 0.6707 0.5000
8 Pu 0.3293 0.0000 0.1667
9 Pu 0.6707 0.3293 0.8333
10 Zn 0.0000 0.6647 0.0000
11 Zn 0.3353 0.0000 0.6667
12 Zn 0.6647 0.3353 0.3333

Computed properties:
- Total energy: -8.70 eV per atom
- Space-group type: P3_221
- DOS(E_F): 20.7 states/eV per cell
- E_form (uncorrected): -0.6401 eV/atom

---

Record 4
DFT (PBE) results for a relaxed PuZn5N5 crystal.

Lattice parameters (Å, degrees): 4.0905 5.6995 6.5902 102.13 90.00 111.03
Atoms (fractional coordinates):
1 Zn 0.2957 0.5914 0.6420
2 Zn 0.3172 0.6344 0.1292
3 Zn 0.7043 0.4086 0.3580
4 Zn 0.0000 0.0000 0.5000
5 Zn 0.6828 0.3656 0.8708
6 N 0.5000 0.0000 0.0000
7 N 0.1699 0.3397 0.8442
8 N 0.1402 0.2803 0.3526
9 N 0.8301 0.6603 0.1558
10 N 0.8598 0.7197 0.6474
11 Pu 0.0000 0.0000 0.0000

Computed properties:
- Total energy: -5.70 eV per atom
- Space-group type: C2/m
- DOS(E_F): 6.3 states/eV per cell
- E_form (uncorrected): -0.0360 eV/atom

---

Record 5
DFT (PBE) results for a relaxed PuZn2N3 crystal.

Lattice parameters (Å, degrees): 6.0926 6.0926 10.2626 99.81 99.81 115.20
Atoms (fractional coordinates):
1 N 0.7558 0.1926 0.3313
2 N 0.5497 0.9598 0.0086
3 N 0.8887 0.8256 0.8313
4 N 0.7988 0.7089 0.5086
5 N 0.2911 0.2012 0.4914
6 N 0.1744 0.1113 0.1687
7 N 0.0402 0.4503 0.9914
8 N 0.2808 0.6896 0.3335
9 N 0.3938 0.3027 0.8335
10 N 0.3104 0.7192 0.6665
11 N 0.8074 0.2442 0.6687
12 N 0.6973 0.6062 0.1665
13 Pu 0.1515 0.3078 0.6440
14 Pu 0.6922 0.8485 0.3560
15 Pu 0.2575 0.9138 0.8560
16 Pu 0.0862 0.7425 0.1440
17 Zn 0.9095 0.0905 0.0000
18 Zn 0.4328 0.5672 0.0000
19 Zn 0.5664 0.2465 0.1704
20 Zn 0.1459 0.3261 0.3296
21 Zn 0.6739 0.8541 0.6704
22 Zn 0.1828 0.8172 0.5000
23 Zn 0.6595 0.3405 0.5000
24 Zn 0.7535 0.4336 0.8296

Computed properties:
- Total energy: -7.15 eV per atom
- Space-group type: Fdd2
- DOS(E_F): 19.7 states/eV per cell
- E_form (uncorrected): -0.1790 eV/atom

---

Record 6
DFT (PBE) results for a relaxed Pu3ZrN4 crystal.

Lattice parameters (Å, degrees): 5.9340 5.8987 6.8457 90.00 90.00 109.66
Atoms (fractional coordinates):
1 N 0.0079 0.7577 0.3662
2 N 0.4921 0.2423 0.3662
3 N 0.4986 0.7594 0.1180
4 N 0.9986 0.7594 0.8820
5 N 0.5079 0.7577 0.6338
6 N 0.0014 0.2406 0.1180
7 N 0.5014 0.2406 0.8820
8 N 0.9921 0.2423 0.6338
9 Pu 0.2500 0.5000 0.3727
10 Pu 0.7500 0.5000 0.1236
11 Pu 0.2500 0.0000 0.6260
12 Pu 0.7500 0.0000 0.3740
13 Pu 0.2500 0.5000 0.8764
14 Pu 0.7500 0.5000 0.6273
15 Zr 0.7500 0.0000 0.8768
16 Zr 0.2500 0.0000 0.1232

Computed properties:
- Total energy: -11.96 eV per atom
- Space-group type: P2/c
- DOS(E_F): 35.4 states/eV per cell
- E_form (uncorrected): -1.3573 eV/atom

---

Record 7
DFT (PBE) results for a relaxed Pu3ZrN crystal.

Lattice parameters (Å, degrees): 4.7769 4.7769 4.7769 90.00 90.00 90.00
Atoms (fractional coordinates):
1 Pu 0.5000 0.0000 0.0000
2 Pu 0.0000 0.5000 0.0000
3 Pu 0.0000 0.0000 0.5000
4 N 0.0000 0.0000 0.0000
5 Zr 0.5000 0.5000 0.5000

Computed properties:
- Total energy: -12.25 eV per atom
- Space-group type: Pm-3m
- DOS(E_F): 16.1 states/eV per cell
- E_form (uncorrected): -0.2767 eV/atom

---

Record 8
DFT (PBE) results for a relaxed Pu2ZrN3 crystal.

Lattice parameters (Å, degrees): 7.6221 7.6221 7.6221 154.15 154.15 36.88
Atoms (fractional coordinates):
1 Pu 0.6636 0.6636 0.0000
2 Pu 0.3364 0.3364 0.0000
3 N 0.8386 0.8386 0.0000
4 N 0.1614 0.1614 0.0000
5 N 0.5000 0.5000 0.0000
6 Zr 0.0000 0.0000 0.0000

Computed properties:
- Total energy: -11.76 eV per atom
- Space-group type: I4/mmm
- DOS(E_F): 13.1 states/eV per cell
- E_form (uncorrected): -1.3962 eV/atom

---

Record 9
DFT (PBE) results for a relaxed Pu2ZrN3 crystal.

Lattice parameters (Å, degrees): 5.8781 5.8998 5.8998 119.84 99.59 99.59
Atoms (fractional coordinates):
1 Pu 0.2500 0.9157 0.0843
2 Pu 0.7500 0.7514 0.2486
3 Pu 0.7500 0.0843 0.9157
4 Pu 0.2500 0.2486 0.7514
5 N 0.5000 0.0000 0.5000
6 N 0.0027 0.1847 0.3427
7 N 0.5027 0.3427 0.1847
8 N 0.0000 0.5000 0.0000
9 N 0.9973 0.8153 0.6573
10 N 0.4973 0.6573 0.8153
11 Zr 0.7500 0.4200 0.5800
12 Zr 0.2500 0.5800 0.4200

Computed properties:
- Total energy: -11.78 eV per atom
- Space-group type: C2/c
- DOS(E_F): 24.5 states/eV per cell
- E_form (uncorrected): -1.4155 eV/atom

---

Record 10
DFT (PBE) results for a relaxed PuZr3N6 crystal.

Lattice parameters (Å, degrees): 5.6282 5.6282 5.8524 61.26 61.26 60.00
Atoms (fractional coordinates):
1 N 0.5539 0.2421 0.2463
2 N 0.9576 0.5539 0.2463
3 N 0.7502 0.0466 0.7389
4 N 0.2421 0.9576 0.2463
5 N 0.0466 0.4644 0.7389
6 N 0.4644 0.7502 0.7389
7 Zr 0.3586 0.3586 0.9243
8 Zr 0.6348 0.6348 0.0957
9 Zr 0.1406 0.1406 0.5782
10 Pu 0.8512 0.8512 0.4463

Computed properties:
- Total energy: -10.15 eV per atom
- Space-group type: R3
- DOS(E_F): 6.2 states/eV per cell
- E_form (uncorrected): -1.1611 eV/atom

---

Record 11
DFT (PBE) results for a relaxed PuZr4N6 crystal.

Lattice parameters (Å, degrees): 3.2446 5.6444 16.3146 90.00 90.00 106.70
Atoms (fractional coordinates):
1 N 0.2295 0.4591 0.9165
2 N 0.9650 0.9299 0.6612
3 N 0.9650 0.9299 0.8388
4 N 0.0350 0.0701 0.1612
5 N 0.3052 0.6104 0.2500
6 N 0.2295 0.4591 0.5835
7 N 0.5000 0.0000 0.0000
8 N 0.7705 0.5409 0.0835
9 N 0.7705 0.5409 0.4165
10 N 0.0350 0.0701 0.3388
11 N 0.5000 0.0000 0.5000
12 N 0.6948 0.3896 0.7500
13 Zr 0.6023 0.2046 0.6361
14 Zr 0.8670 0.7341 0.9518
15 Zr 0.1330 0.2659 0.0482
16 Zr 0.6023 0.2046 0.8639
17 Zr 0.8670 0.7341 0.5482
18 Zr 0.3977 0.7954 0.1361
19 Zr 0.1330 0.2659 0.4518
20 Zr 0.3977 0.7954 0.3639
21 Pu 0.6550 0.3101 0.2500
22 Pu 0.3450 0.6899 0.7500

Computed properties:
- Total energy: -10.48 eV per atom
- Space-group type: Cmcm
- DOS(E_F): 20.2 states/eV per cell
- E_form (uncorrected): -1.5242 eV/atom

---

Record 12
DFT (PBE) results for a relaxed Pu3ZrN4 crystal.

Lattice parameters (Å, degrees): 3.4178 5.9401 5.9401 109.22 90.00 90.00
Atoms (fractional coordinates):
1 Pu 0.0000 0.0000 0.5000
2 Pu 0.5000 0.5000 0.5000
3 Pu 0.0000 0.5000 0.0000
4 N 0.0000 0.2375 0.2375
5 N 0.5000 0.2413 0.7587
6 N 0.0000 0.7625 0.7625
7 N 0.5000 0.7587 0.2413
8 Zr 0.5000 0.0000 0.0000

Computed properties:
- Total energy: -11.98 eV per atom
- Space-group type: Cmmm
- DOS(E_F): 18.0 states/eV per cell
- E_form (uncorrected): -1.3777 eV/atom